Material: TlSiRu2I
Method: DFT, GGA-PBE
State: optimized geometry

Values from the calculation:
For the raw total energy, the calculation gives -4.64 eV/atom. The formation energy (no corrections) comes out at 0.93 eV per atom. The space group is P4/mmm (123).

Lattice parameters (Å, degrees): 4.619 6.099 4.619 90.00 90.00 90.00
Last column: magnetic moment on the atom in μB.
Element x y z (fractional)
1 I 0.000 0.500 0.000  0.10
2 Ru 0.000 0.000 0.500  1.59
3 Ru 0.500 0.000 0.000  1.63
4 Tl 0.500 0.500 0.500  0.01
5 Si 0.000 0.000 0.000  -0.04


Material: Sm5Ru2I2
Method: DFT, GGA-PBE
State: optimized geometry

Values from the calculation:
For the raw total energy, the calculation gives -5.61 eV/atom. The formation energy (no corrections) comes out at -0.58 eV per atom. The space group is Cmce (64).

Lattice parameters (Å, degrees): 7.966 7.971 9.384 115.13 90.00 90.00
Element x y z (fractional)
1 Sm 0.000 0.000 0.000
2 Sm 0.500 0.500 0.000
3 Sm 0.846 0.760 0.209
4 Sm 0.154 0.450 0.209
5 Sm 0.346 0.950 0.209
6 Sm 0.654 0.260 0.209
7 Sm 0.154 0.240 0.791
8 Sm 0.846 0.550 0.791
9 Sm 0.654 0.050 0.791
10 Sm 0.346 0.740 0.791
11 Ru 0.642 0.857 0.000
12 Ru 0.358 0.143 0.000
13 Ru 0.142 0.643 0.000
14 Ru 0.858 0.357 0.000
15 I 0.000 0.217 0.434
16 I 0.500 0.717 0.434
17 I 0.000 0.783 0.566
18 I 0.500 0.283 0.566


Material: SmRuI
Method: DFT, GGA-PBE
State: optimized geometry

Values from the calculation:
For the raw total energy, the calculation gives -5.95 eV/atom. The formation energy (no corrections) comes out at -0.77 eV per atom. The space group is C2/m (12).

Lattice parameters (Å, degrees): 4.220 4.220 12.457 90.75 99.38 118.70
Element x y z (fractional)
1 Sm 0.894 0.443 0.337
2 Sm 0.106 0.557 0.663
3 Ru 0.319 0.176 0.494
4 Ru 0.681 0.824 0.506
5 I 0.559 0.278 0.837
6 I 0.441 0.722 0.163


Material: Sm4Ru2I5
Method: DFT, GGA-PBE
State: optimized geometry

Values from the calculation:
For the raw total energy, the calculation gives -4.40 eV/atom. The formation energy (no corrections) comes out at -0.29 eV per atom. The space group is Immm (71).

Lattice parameters (Å, degrees): 4.367 9.114 11.482 113.38 100.96 90.00
Last column: magnetic moment on the atom in μB.
Element x y z (fractional)
1 Sm 0.600 0.600 0.200  0.10
2 Sm 0.000 0.266 0.000  0.03
3 Sm 0.400 0.400 0.800  0.10
4 Sm 0.000 0.734 0.000  0.03
5 Ru 0.071 0.071 0.141  0.05
6 Ru 0.929 0.929 0.859  0.05
7 I 0.153 0.411 0.305  0.00
8 I 0.847 0.589 0.695  0.00
9 I 0.153 0.895 0.305  0.00
10 I 0.500 0.000 0.000  0.02
11 I 0.847 0.105 0.695  0.00